Entry from Alexandria: an optimized crystal structure of Ga6Ir5 (PBE).

Structure (extended XYZ):
```
11
Lattice="-0.885 4.133 -0.880 2.110 -0.716 -5.486 -6.533 -3.413 1.128" Properties=species:S:1:pos:R:3 pbc="T T T"
Ga 1.186 1.514 -4.672
Ga 0.040 1.903 -1.693
Ga -5.004 1.098 -0.402
Ga -3.904 0.725 -3.263
Ga -0.303 -1.094 -4.835
Ga -1.403 -0.721 -1.975
Ir 1.055 -0.358 -2.743
Ir -1.285 1.162 -3.841
Ir -4.023 -1.158 -1.396
Ir -2.827 -1.476 -4.090
Ir -2.481 1.480 -1.148
```

Output
* volume: 166.0 Å³/cell
* space-group type: Immm, No. 71
* electronic total energy: -6.080 eV per atom
* Fermi-level density of states: 3.79 states/eV/f.u.